GGA-PBE Sm6Y5Th, optimized geometry; DOS(E_F) = 1.4128 states/eV/atom; size of the total moment = 0.00 μB/f.u.; volume = 396.6 Å³ per cell; VASP energy = -5.64 eV per atom; ΔH_f (0 K) = 0.0291 eV/atom
1.0
3.121 -5.402 0.000
3.121 5.402 0.000
-2.082 0.000 11.762
Sm Y Th
6 5 1
direct
0.083 0.413 0.749
0.246 0.246 0.251
0.413 0.083 0.749
0.587 0.917 0.251
0.754 0.754 0.749
0.917 0.587 0.251
0.167 0.833 0.000
0.333 0.667 0.500
0.500 0.500 0.000
0.667 0.333 0.500
0.833 0.167 0.000
0.000 0.000 0.500